A relaxed structure of UVIrO6. Source: the Alexandria database, functional GGA+U.

Structure (POSCAR):
```
UVIrO6
1.0
5.317 0.000 0.000
-2.658 4.604 0.000
0.000 0.000 8.690
U V Ir O
2 2 2 12
direct
0.333 0.667 0.250
0.667 0.333 0.750
0.333 0.667 0.750
0.667 0.333 0.250
0.000 0.000 0.000
0.000 0.000 0.500
0.010 0.335 0.626
0.010 0.675 0.874
0.325 0.335 0.874
0.325 0.990 0.626
0.335 0.010 0.126
0.335 0.325 0.374
0.665 0.675 0.626
0.665 0.990 0.874
0.675 0.010 0.374
0.675 0.665 0.126
0.990 0.325 0.126
0.990 0.665 0.374
```

Summary:
SG   No. 163
E_tot   -75.369 eV/f.u.
Theoretical density   9.01 Mg/m³